[1]
## Al2PdAu2 (PBE-GGA)

Data for a geometry-optimized Al2PdAu2 structure.

space group: No. 12
N(E_F): 1.846 states/eV per cell
calculated formation energy: -0.47 eV per atom
ΔE to the lowest computed polymorph: 0.034 eV/atom
E: -4.315 eV/atom

a b c (Å): 4.285 4.285 5.397
angles (deg): 90.48 90.48 61.15
Atoms (fractional coordinates):
Al 0.164 0.164 0.327
Al 0.836 0.836 0.673
Pd 0.500 0.500 0.500
Au 0.171 0.171 0.834
Au 0.829 0.829 0.166

[2]
## AlPd12Au6 (PBE-GGA)

Data for a geometry-optimized AlPd12Au6 structure.

space group: No. 148
N(E_F): 21.181 states/eV per cell
calculated formation energy: -0.07 eV per atom
E: -4.584 eV/atom

a b c (Å): 6.812 6.812 6.812
angles (deg): 91.60 91.60 91.60
Atoms (fractional coordinates):
Al 0.000 0.000 0.000
Pd 0.044 0.143 0.366
Pd 0.143 0.366 0.044
Pd 0.204 0.469 0.547
Pd 0.366 0.044 0.143
Pd 0.453 0.796 0.531
Pd 0.469 0.547 0.204
Pd 0.531 0.453 0.796
Pd 0.547 0.204 0.469
Pd 0.634 0.956 0.857
Pd 0.796 0.531 0.453
Pd 0.857 0.634 0.956
Pd 0.956 0.857 0.634
Au 0.119 0.737 0.275
Au 0.263 0.725 0.881
Au 0.275 0.119 0.737
Au 0.725 0.881 0.263
Au 0.737 0.275 0.119
Au 0.881 0.263 0.725

[3]
## Al3PdAu (PBE-GGA)

Data for a geometry-optimized Al3PdAu structure.

space group: No. 221
N(E_F): 1.912 states/eV per cell
calculated formation energy: -0.05 eV per atom
ΔE to the lowest computed polymorph: 0.000 eV/atom
E: -3.995 eV/atom

a b c (Å): 4.712 4.712 4.712
angles (deg): 90.00 90.00 90.00
Atoms (fractional coordinates):
Al 0.000 0.000 0.500
Al 0.000 0.500 0.000
Al 0.500 0.000 0.000
Pd 0.000 0.000 0.000
Au 0.500 0.500 0.500

[4]
## Al2PdAu8 (PBE-GGA)

Data for a geometry-optimized Al2PdAu8 structure.

space group: No. 12
N(E_F): 3.567 states/eV per cell
calculated formation energy: -0.20 eV per atom
ΔE to the lowest computed polymorph: 0.000 eV/atom
E: -3.732 eV/atom

a b c (Å): 7.538 7.538 6.611
angles (deg): 108.99 108.99 32.39
Atoms (fractional coordinates):
Al 0.218 0.218 0.157
Al 0.782 0.782 0.843
Pd 0.500 0.500 0.500
Au 0.043 0.043 0.233
Au 0.152 0.152 0.721
Au 0.322 0.322 0.574
Au 0.396 0.396 0.037
Au 0.604 0.604 0.963
Au 0.678 0.678 0.426
Au 0.848 0.848 0.279
Au 0.957 0.957 0.767

[5]
## Al2Pd2Au (PBE-GGA)

Data for a geometry-optimized Al2Pd2Au structure.

space group: No. 127
N(E_F): 2.993 states/eV per cell
calculated formation energy: -0.68 eV per atom
ΔE to the lowest computed polymorph: 0.000 eV/atom
E: -4.913 eV/atom

a b c (Å): 7.244 7.244 2.966
angles (deg): 90.00 90.00 90.00
Atoms (fractional coordinates):
Al 0.147 0.353 0.000
Al 0.353 0.853 0.000
Al 0.647 0.147 0.000
Al 0.853 0.647 0.000
Pd 0.147 0.647 0.500
Pd 0.353 0.147 0.500
Pd 0.647 0.853 0.500
Pd 0.853 0.353 0.500
Au 0.000 0.000 0.000
Au 0.500 0.500 0.000

[6]
## Al2Pd8Au (PBE-GGA)

Data for a geometry-optimized Al2Pd8Au structure.

space group: No. 71
N(E_F): 5.099 states/eV per cell
calculated formation energy: -0.46 eV per atom
ΔE to the lowest computed polymorph: 0.027 eV/atom
E: -5.212 eV/atom

a b c (Å): 7.289 7.289 7.289
angles (deg): 147.52 122.83 67.31
Atoms (fractional coordinates):
Al 0.195 0.195 0.000
Al 0.805 0.805 0.000
Pd 0.056 0.340 0.716
Pd 0.193 0.000 0.193
Pd 0.347 0.847 0.500
Pd 0.377 0.660 0.716
Pd 0.623 0.340 0.284
Pd 0.653 0.153 0.500
Pd 0.807 0.000 0.807
Pd 0.944 0.660 0.284
Au 0.500 0.500 0.000